AcVAgF6 | Alexandria | PBE with a Hubbard U | optimized geometry; theoretical density = 5.16 g cm⁻³; M_tot = 6.000 μB per cell; space group = P4_2nm, No. 102; final energy = -0.2114 hartree per atom
1.0
5.4239 0.0000 0.0000
0.0000 5.4239 0.0000
0.0000 0.0000 10.9304
Ac V Ag F
2 2 2 12
Cartesian
0.0000 0.0000 0.0000
2.7120 2.7120 5.4652
0.0000 0.0000 7.2566
2.7120 2.7120 1.7914
0.0000 0.0000 3.5847
2.7120 2.7120 9.0499
0.9794 0.9794 8.9048
1.0051 1.0051 5.6672
1.2136 1.2136 1.7061
1.4984 3.9256 7.1713
1.7068 3.7171 0.2020
1.7325 3.6914 3.4395
3.6914 1.7325 3.4395
3.7171 1.7068 0.2020
3.9256 1.4984 7.1713
4.2103 4.2103 1.7061
4.4188 4.4188 5.6672
4.4445 4.4445 8.9048